## ReBiI2 (PBE-GGA)

Data for an optimized crystal structure of ReBiI2.

Geometry as extended XYZ:
```
8
Lattice="-6.230 5.625 5.093 -0.761 -7.020 6.822 -1.440 0.373 7.289" Properties=species:S:1:pos:R:3 pbc="T T T"
I -3.503 1.967 5.166
I -2.460 -2.827 7.414
I -3.805 -1.197 10.861
I -7.093 0.013 14.966
Re -3.495 -0.698 5.958
Re -2.848 -3.672 10.034
Bi 0.000 0.000 0.000
Bi -5.583 2.650 9.170
```

Properties
The total magnetization is 0.00 μB per formula unit. Its formation energy from raw total energies is 0.61 eV/atom. The density of states at the Fermi level comes out at 1.1 states/eV/f.u. The calculation puts the excess energy over the best structure of this formula in the dataset at 0.0 meV/atom. Its space group is I-42d, No. 122. The total energy comes out at -34.0 eV for the cell shown.